Record 1
# TcPdNO2 PBE-GGA relaxed
# **Raw total energy**: -6.810 eV per atom
# **Formation energy (no corrections)**: -0.05 eV/atom
# **Magnetization**: 0.0299 μB/atom
# **Density of states at the Fermi level**: 6.278 states/eV per cell
data_TcPdNO2
_chemical_formula_sum 'Tc1 Pd1 N1 O2'
_cell_length_a 3.828
_cell_length_b 3.828
_cell_length_c 3.992
_cell_angle_alpha 90.00
_cell_angle_beta 90.00
_cell_angle_gamma 90.00
_symmetry_space_group_name_H-M 'P 4/m m m'
_symmetry_Int_Tables_number 123
_symmetry_space_group_name_Hall '-P 4 2'
loop_
_atom_site_label
_atom_site_type_symbol
_atom_site_fract_x
_atom_site_fract_y
_atom_site_fract_z
_atom_site_occupancy
Tc1 Tc 0.000 0.000 0.000 1
Pd1 Pd 0.500 0.500 0.500 1
N1 N 0.000 0.000 0.500 1
O1 O 0.000 0.500 0.000 1

Record 2
# TcPdNO2 PBE-GGA relaxed
# **Raw total energy**: -5.794 eV per atom
# **Formation energy (no corrections)**: 0.97 eV/atom
# **Magnetization**: 0.6405 μB/atom
# **Density of states at the Fermi level**: 2.965 states/eV per cell
data_TcPdNO2
_chemical_formula_sum 'Tc1 Pd1 N1 O2'
_cell_length_a 3.993
_cell_length_b 3.993
_cell_length_c 3.894
_cell_angle_alpha 90.00
_cell_angle_beta 90.00
_cell_angle_gamma 90.00
_symmetry_space_group_name_H-M 'P 4/m m m'
_symmetry_Int_Tables_number 123
_symmetry_space_group_name_Hall '-P 4 2'
loop_
_atom_site_label
_atom_site_type_symbol
_atom_site_fract_x
_atom_site_fract_y
_atom_site_fract_z
_atom_site_occupancy
Tc1 Tc 0.000 0.000 0.000 1
Pd1 Pd 0.500 0.500 0.500 1
N1 N 0.500 0.500 0.000 1
O1 O 0.000 0.500 0.500 1

Record 3
# TcPdN2O PBE-GGA relaxed
# **Raw total energy**: -6.902 eV per atom
# **Formation energy (no corrections)**: 0.53 eV/atom
# **Magnetization**: 0.0000 μB/atom
# **Density of states at the Fermi level**: 4.810 states/eV per cell
data_TcPdN2O
_chemical_formula_sum 'Tc1 Pd1 N2 O1'
_cell_length_a 3.933
_cell_length_b 3.933
_cell_length_c 3.797
_cell_angle_alpha 90.00
_cell_angle_beta 90.00
_cell_angle_gamma 90.00
_symmetry_space_group_name_H-M 'P 4/m m m'
_symmetry_Int_Tables_number 123
_symmetry_space_group_name_Hall '-P 4 2'
loop_
_atom_site_label
_atom_site_type_symbol
_atom_site_fract_x
_atom_site_fract_y
_atom_site_fract_z
_atom_site_occupancy
Tc1 Tc 0.000 0.000 0.000 1
Pd1 Pd 0.500 0.500 0.500 1
N1 N 0.000 0.500 0.000 1
O1 O 0.000 0.000 0.500 1

Record 4
# TcPdN2O PBE-GGA relaxed
# **Raw total energy**: -5.868 eV per atom
# **Formation energy (no corrections)**: 1.57 eV/atom
# **Magnetization**: 0.4562 μB/atom
# **Density of states at the Fermi level**: 3.144 states/eV per cell
data_TcPdN2O
_chemical_formula_sum 'Tc1 Pd1 N2 O1'
_cell_length_a 3.917
_cell_length_b 3.917
_cell_length_c 3.989
_cell_angle_alpha 90.00
_cell_angle_beta 90.00
_cell_angle_gamma 90.00
_symmetry_space_group_name_H-M 'P 4/m m m'
_symmetry_Int_Tables_number 123
_symmetry_space_group_name_Hall '-P 4 2'
loop_
_atom_site_label
_atom_site_type_symbol
_atom_site_fract_x
_atom_site_fract_y
_atom_site_fract_z
_atom_site_occupancy
Tc1 Tc 0.000 0.000 0.000 1
Pd1 Pd 0.500 0.500 0.500 1
N1 N 0.000 0.500 0.500 1
O1 O 0.500 0.500 0.000 1

Record 5
# TePdN2O PBE-GGA relaxed
# **Raw total energy**: -4.500 eV per atom
# **Formation energy (no corrections)**: 1.49 eV/atom
# **Magnetization**: 0.3227 μB/atom
# **Density of states at the Fermi level**: 3.489 states/eV per cell
data_TePdN2O
_chemical_formula_sum 'Te1 Pd1 N2 O1'
_cell_length_a 3.727
_cell_length_b 3.727
_cell_length_c 6.078
_cell_angle_alpha 90.00
_cell_angle_beta 90.00
_cell_angle_gamma 90.00
_symmetry_space_group_name_H-M 'P 4/m m m'
_symmetry_Int_Tables_number 123
_symmetry_space_group_name_Hall '-P 4 2'
loop_
_atom_site_label
_atom_site_type_symbol
_atom_site_fract_x
_atom_site_fract_y
_atom_site_fract_z
_atom_site_occupancy
Te1 Te 0.000 0.000 0.000 1
Pd1 Pd 0.000 0.000 0.500 1
N1 N 0.000 0.500 0.500 1
O1 O 0.500 0.500 0.000 1

Record 6
# TePdN2O PBE-GGA relaxed
# **Raw total energy**: -4.751 eV per atom
# **Formation energy (no corrections)**: 1.24 eV/atom
# **Magnetization**: 0.0000 μB/atom
# **Density of states at the Fermi level**: 2.529 states/eV per cell
data_TePdN2O
_chemical_formula_sum 'Te1 Pd1 N2 O1'
_cell_length_a 3.993
_cell_length_b 3.993
_cell_length_c 3.985
_cell_angle_alpha 90.00
_cell_angle_beta 90.00
_cell_angle_gamma 90.00
_symmetry_space_group_name_H-M 'P 4/m m m'
_symmetry_Int_Tables_number 123
_symmetry_space_group_name_Hall '-P 4 2'
loop_
_atom_site_label
_atom_site_type_symbol
_atom_site_fract_x
_atom_site_fract_y
_atom_site_fract_z
_atom_site_occupancy
Te1 Te 0.000 0.000 0.000 1
Pd1 Pd 0.500 0.500 0.500 1
N1 N 0.000 0.500 0.500 1
O1 O 0.500 0.500 0.000 1

Record 7
# TePdN2O PBE-GGA relaxed
# **Raw total energy**: -4.776 eV per atom
# **Formation energy (no corrections)**: 1.21 eV/atom
# **Magnetization**: 0.0000 μB/atom
# **Density of states at the Fermi level**: 3.492 states/eV per cell
data_TePdN2O
_chemical_formula_sum 'Te1 Pd1 N2 O1'
_cell_length_a 4.044
_cell_length_b 4.044
_cell_length_c 3.834
_cell_angle_alpha 90.00
_cell_angle_beta 90.00
_cell_angle_gamma 90.00
_symmetry_space_group_name_H-M 'P 4/m m m'
_symmetry_Int_Tables_number 123
_symmetry_space_group_name_Hall '-P 4 2'
loop_
_atom_site_label
_atom_site_type_symbol
_atom_site_fract_x
_atom_site_fract_y
_atom_site_fract_z
_atom_site_occupancy
Te1 Te 0.000 0.000 0.000 1
Pd1 Pd 0.500 0.500 0.500 1
N1 N 0.000 0.500 0.000 1
O1 O 0.000 0.000 0.500 1

Record 8
# TePdNO2 PBE-GGA relaxed
# **Raw total energy**: -4.704 eV per atom
# **Formation energy (no corrections)**: 0.61 eV/atom
# **Magnetization**: 0.0000 μB/atom
# **Density of states at the Fermi level**: 2.203 states/eV per cell
data_TePdNO2
_chemical_formula_sum 'Te1 Pd1 N1 O2'
_cell_length_a 3.987
_cell_length_b 3.987
_cell_length_c 4.030
_cell_angle_alpha 90.00
_cell_angle_beta 90.00
_cell_angle_gamma 90.00
_symmetry_space_group_name_H-M 'P 4/m m m'
_symmetry_Int_Tables_number 123
_symmetry_space_group_name_Hall '-P 4 2'
loop_
_atom_site_label
_atom_site_type_symbol
_atom_site_fract_x
_atom_site_fract_y
_atom_site_fract_z
_atom_site_occupancy
Te1 Te 0.000 0.000 0.000 1
Pd1 Pd 0.500 0.500 0.500 1
N1 N 0.500 0.500 0.000 1
O1 O 0.000 0.500 0.500 1

Record 9
# TePdNO2 PBE-GGA relaxed
# **Raw total energy**: -4.805 eV per atom
# **Formation energy (no corrections)**: 0.51 eV/atom
# **Magnetization**: 0.0730 μB/atom
# **Density of states at the Fermi level**: 4.051 states/eV per cell
data_TePdNO2
_chemical_formula_sum 'Te1 Pd1 N1 O2'
_cell_length_a 3.932
_cell_length_b 3.932
_cell_length_c 4.206
_cell_angle_alpha 90.00
_cell_angle_beta 90.00
_cell_angle_gamma 90.00
_symmetry_space_group_name_H-M 'P 4/m m m'
_symmetry_Int_Tables_number 123
_symmetry_space_group_name_Hall '-P 4 2'
loop_
_atom_site_label
_atom_site_type_symbol
_atom_site_fract_x
_atom_site_fract_y
_atom_site_fract_z
_atom_site_occupancy
Te1 Te 0.000 0.000 0.000 1
Pd1 Pd 0.500 0.500 0.500 1
N1 N 0.000 0.000 0.500 1
O1 O 0.000 0.500 0.000 1

Record 10
# Te2PdNO PBE-GGA relaxed
# **Raw total energy**: -3.922 eV per atom
# **Formation energy (no corrections)**: 1.03 eV/atom
# **Magnetization**: 0.3490 μB/atom
# **Density of states at the Fermi level**: 3.296 states/eV per cell
# **Offset from the most stable computed form**: 0 meV/atom
data_Te2PdNO
_chemical_formula_sum 'Te2 Pd1 N1 O1'
_cell_length_a 4.725
_cell_length_b 4.725
_cell_length_c 3.877
_cell_angle_alpha 90.00
_cell_angle_beta 90.00
_cell_angle_gamma 90.00
_symmetry_space_group_name_H-M 'P 4/m m m'
_symmetry_Int_Tables_number 123
_symmetry_space_group_name_Hall '-P 4 2'
loop_
_atom_site_label
_atom_site_type_symbol
_atom_site_fract_x
_atom_site_fract_y
_atom_site_fract_z
_atom_site_occupancy
Te1 Te 0.000 0.500 0.000 1
Pd1 Pd 0.000 0.000 0.500 1
N1 N 0.500 0.500 0.500 1
O1 O 0.500 0.500 0.000 1

Record 11
# TePdN2O PBE-GGA relaxed
# **Raw total energy**: -4.141 eV per atom
# **Formation energy (no corrections)**: 1.85 eV/atom
# **Magnetization**: 0.1400 μB/atom
# **Density of states at the Fermi level**: 3.079 states/eV per cell
data_TePdN2O
_chemical_formula_sum 'Te1 Pd1 N2 O1'
_cell_length_a 3.937
_cell_length_b 3.937
_cell_length_c 4.206
_cell_angle_alpha 90.00
_cell_angle_beta 90.00
_cell_angle_gamma 90.00
_symmetry_space_group_name_H-M 'P 4/m m m'
_symmetry_Int_Tables_number 123
_symmetry_space_group_name_Hall '-P 4 2'
loop_
_atom_site_label
_atom_site_type_symbol
_atom_site_fract_x
_atom_site_fract_y
_atom_site_fract_z
_atom_site_occupancy
Te1 Te 0.000 0.000 0.000 1
Pd1 Pd 0.500 0.500 0.000 1
N1 N 0.000 0.500 0.500 1
O1 O 0.000 0.000 0.500 1

Record 12
# Te2PdNO PBE-GGA relaxed
# **Raw total energy**: -3.862 eV per atom
# **Formation energy (no corrections)**: 1.09 eV/atom
# **Magnetization**: 0.3219 μB/atom
# **Density of states at the Fermi level**: 4.323 states/eV per cell
# **Offset from the most stable computed form**: 59 meV/atom
data_Te2PdNO
_chemical_formula_sum 'Te2 Pd1 N1 O1'
_cell_length_a 5.462
_cell_length_b 5.462
_cell_length_c 3.651
_cell_angle_alpha 90.00
_cell_angle_beta 90.00
_cell_angle_gamma 90.00
_symmetry_space_group_name_H-M 'P 4/m m m'
_symmetry_Int_Tables_number 123
_symmetry_space_group_name_Hall '-P 4 2'
loop_
_atom_site_label
_atom_site_type_symbol
_atom_site_fract_x
_atom_site_fract_y
_atom_site_fract_z
_atom_site_occupancy
Te1 Te 0.000 0.500 0.000 1
Pd1 Pd 0.000 0.000 0.000 1
N1 N 0.000 0.000 0.500 1
O1 O 0.500 0.500 0.500 1

Record 13
# TiPdNO2 PBE-GGA relaxed
# **Raw total energy**: -6.915 eV per atom
# **Formation energy (no corrections)**: -0.65 eV/atom
# **Magnetization**: 0.1755 μB/atom
# **Density of states at the Fermi level**: 4.971 states/eV per cell
data_TiPdNO2
_chemical_formula_sum 'Ti1 Pd1 N1 O2'
_cell_length_a 3.773
_cell_length_b 3.773
_cell_length_c 4.169
_cell_angle_alpha 90.00
_cell_angle_beta 90.00
_cell_angle_gamma 90.00
_symmetry_space_group_name_H-M 'P 4/m m m'
_symmetry_Int_Tables_number 123
_symmetry_space_group_name_Hall '-P 4 2'
loop_
_atom_site_label
_atom_site_type_symbol
_atom_site_fract_x
_atom_site_fract_y
_atom_site_fract_z
_atom_site_occupancy
Ti1 Ti 0.000 0.000 0.000 1
Pd1 Pd 0.500 0.500 0.500 1
N1 N 0.000 0.000 0.500 1
O1 O 0.000 0.500 0.000 1

Record 14
# TiPdNO2 PBE-GGA relaxed
# **Raw total energy**: -6.104 eV per atom
# **Formation energy (no corrections)**: 0.16 eV/atom
# **Magnetization**: 0.0003 μB/atom
# **Density of states at the Fermi level**: 2.540 states/eV per cell
data_TiPdNO2
_chemical_formula_sum 'Ti1 Pd1 N1 O2'
_cell_length_a 3.900
_cell_length_b 3.900
_cell_length_c 3.899
_cell_angle_alpha 90.00
_cell_angle_beta 90.00
_cell_angle_gamma 90.00
_symmetry_space_group_name_H-M 'P 4/m m m'
_symmetry_Int_Tables_number 123
_symmetry_space_group_name_Hall '-P 4 2'
loop_
_atom_site_label
_atom_site_type_symbol
_atom_site_fract_x
_atom_site_fract_y
_atom_site_fract_z
_atom_site_occupancy
Ti1 Ti 0.000 0.000 0.000 1
Pd1 Pd 0.500 0.500 0.500 1
N1 N 0.500 0.500 0.000 1
O1 O 0.000 0.500 0.500 1

Record 15
# TlPdNO2 PBE-GGA relaxed
# **Raw total energy**: -4.703 eV per atom
# **Formation energy (no corrections)**: 0.46 eV/atom
# **Magnetization**: 0.0335 μB/atom
# **Density of states at the Fermi level**: 3.765 states/eV per cell
data_TlPdNO2
_chemical_formula_sum 'Tl1 Pd1 N1 O2'
_cell_length_a 4.193
_cell_length_b 4.193
_cell_length_c 3.791
_cell_angle_alpha 90.00
_cell_angle_beta 90.00
_cell_angle_gamma 90.00
_symmetry_space_group_name_H-M 'P 4/m m m'
_symmetry_Int_Tables_number 123
_symmetry_space_group_name_Hall '-P 4 2'
loop_
_atom_site_label
_atom_site_type_symbol
_atom_site_fract_x
_atom_site_fract_y
_atom_site_fract_z
_atom_site_occupancy
Tl1 Tl 0.000 0.000 0.000 1
Pd1 Pd 0.500 0.500 0.500 1
N1 N 0.500 0.500 0.000 1
O1 O 0.000 0.500 0.500 1

Record 16
# TlPdNO2 PBE-GGA relaxed
# **Raw total energy**: -3.892 eV per atom
# **Formation energy (no corrections)**: 1.27 eV/atom
# **Magnetization**: 0.7065 μB/atom
# **Density of states at the Fermi level**: 3.453 states/eV per cell
data_TlPdNO2
_chemical_formula_sum 'Tl1 Pd1 N1 O2'
_cell_length_a 4.314
_cell_length_b 4.314
_cell_length_c 4.295
_cell_angle_alpha 90.00
_cell_angle_beta 90.00
_cell_angle_gamma 90.00
_symmetry_space_group_name_H-M 'P 4/m m m'
_symmetry_Int_Tables_number 123
_symmetry_space_group_name_Hall '-P 4 2'
loop_
_atom_site_label
_atom_site_type_symbol
_atom_site_fract_x
_atom_site_fract_y
_atom_site_fract_z
_atom_site_occupancy
Tl1 Tl 0.000 0.000 0.000 1
Pd1 Pd 0.500 0.500 0.500 1
N1 N 0.000 0.000 0.500 1
O1 O 0.000 0.500 0.000 1